# PBE Tm3Sb2Te2, optimized geometry
data_Tm3Sb2Te2
_symmetry_space_group_name_H-M 'C 1 2/m 1'
_symmetry_Int_Tables_number 12
_symmetry_space_group_name_Hall '-C 2y'
_cell_length_a 16.214
_cell_length_b 4.258
_cell_length_c 7.532
_cell_angle_alpha 90.00
_cell_angle_beta 116.81
_cell_angle_gamma 90.00
loop_
_atom_site_label
_atom_site_fract_x
_atom_site_fract_y
_atom_site_fract_z
_atom_site_occupancy
Tm1 0.000 0.000 0.000 1
Tm2 0.241 0.500 0.733 1
Sb1 0.129 0.500 0.970 1
Te1 0.123 0.000 0.451 1
# Total energy   -70.1 eV/cell
# DOS(E_F)   7.0 states/eV per cell
# ΔE_f (raw)   -1.018 eV per atom
# Crystal system   monoclinic

***

# PBE Tm3Sb2Te, optimized geometry
data_Tm3Sb2Te
_symmetry_space_group_name_H-M 'C m c m'
_symmetry_Int_Tables_number 63
_symmetry_space_group_name_Hall '-C 2c 2'
_cell_length_a 4.219
_cell_length_b 15.405
_cell_length_c 10.013
_cell_angle_alpha 90.00
_cell_angle_beta 90.00
_cell_angle_gamma 90.00
loop_
_atom_site_label
_atom_site_fract_x
_atom_site_fract_y
_atom_site_fract_z
_atom_site_occupancy
Tm1 0.000 0.137 0.250 1
Tm2 0.000 0.342 0.039 1
Sb1 0.000 0.000 0.000 1
Sb2 0.000 0.497 0.250 1
Te1 0.000 0.224 0.750 1
# Total energy   -116.9 eV/cell
# ΔE to the lowest computed polymorph   421 meV/atom
# DOS(E_F)   16.6 states/eV per cell
# ΔE_f (raw)   -0.737 eV per atom
# Crystal system   orthorhombic

***

# PBE Tm4Sb3Te, optimized geometry
data_Tm4Sb3Te
_symmetry_space_group_name_H-M 'P m -3 m'
_symmetry_Int_Tables_number 221
_symmetry_space_group_name_Hall '-P 4 2 3'
_cell_length_a 6.120
_cell_length_b 6.120
_cell_length_c 6.120
_cell_angle_alpha 90.00
_cell_angle_beta 90.00
_cell_angle_gamma 90.00
loop_
_atom_site_label
_atom_site_fract_x
_atom_site_fract_y
_atom_site_fract_z
_atom_site_occupancy
Tm1 0.000 0.000 0.000 1
Tm2 0.000 0.500 0.500 1
Sb1 0.000 0.000 0.500 1
Te1 0.500 0.500 0.500 1
# Total energy   -42.4 eV/cell
# ΔE to the lowest computed polymorph   10 meV/atom
# DOS(E_F)   4.0 states/eV per cell
# ΔE_f (raw)   -1.126 eV per atom
# Crystal system   cubic

***

# PBE TmSbTe, optimized geometry
data_TmSbTe
_symmetry_space_group_name_H-M 'I 4 m m'
_symmetry_Int_Tables_number 107
_symmetry_space_group_name_Hall 'I 4 -2'
_cell_length_a 3.930
_cell_length_b 3.930
_cell_length_c 10.420
_cell_angle_alpha 90.00
_cell_angle_beta 90.00
_cell_angle_gamma 90.00
loop_
_atom_site_label
_atom_site_fract_x
_atom_site_fract_y
_atom_site_fract_z
_atom_site_occupancy
Tm1 0.000 0.000 0.000 1
Sb1 0.000 0.000 0.661 1
Te1 0.000 0.000 0.358 1
# Total energy   -27.8 eV/cell
# DOS(E_F)   4.5 states/eV per cell
# ΔE_f (raw)   -0.723 eV per atom
# Crystal system   tetragonal

***

# PBE Tm4SbTe5, optimized geometry
data_Tm4SbTe5
_symmetry_space_group_name_H-M 'P m m n'
_symmetry_Int_Tables_number 59
_cell_length_a 9.314
_cell_length_b 10.741
_cell_length_c 7.205
_cell_angle_alpha 90.00
_cell_angle_beta 90.00
_cell_angle_gamma 90.00
loop_
_symmetry_equiv_pos_as_xyz
'x,y,z'
'-x,-y,-z'
'-x+1/2,-y+1/2,z'
'x+1/2,y+1/2,-z'
'x+1/2,-y,-z'
'-x+1/2,y,z'
'-x,y+1/2,-z'
'x,-y+1/2,z'
loop_
_atom_site_label
_atom_site_fract_x
_atom_site_fract_y
_atom_site_fract_z
_atom_site_occupancy
Tm1 0.004 0.250 0.071 1
Tm2 0.250 0.001 0.498 1
Sb1 0.250 0.250 0.324 1
Te1 0.000 0.056 0.763 1
Te2 0.250 0.750 0.683 1
# Total energy   -96.0 eV/cell
# DOS(E_F)   10.1 states/eV per cell
# ΔE_f (raw)   -1.027 eV per atom
# Crystal system   orthorhombic

***

# PBE Tm6Sb3Te, optimized geometry
data_Tm6Sb3Te
_symmetry_space_group_name_H-M 'C m c 21'
_symmetry_Int_Tables_number 36
_symmetry_space_group_name_Hall 'C 2c -2'
_cell_length_a 11.244
_cell_length_b 14.453
_cell_length_c 7.383
_cell_angle_alpha 90.00
_cell_angle_beta 90.00
_cell_angle_gamma 90.00
loop_
_atom_site_label
_atom_site_fract_x
_atom_site_fract_y
_atom_site_fract_z
_atom_site_occupancy
Tm1 0.000 0.003 0.000 1
Tm2 0.000 0.247 0.372 1
Tm3 0.165 0.447 0.407 1
Tm4 0.191 0.271 0.995 1
Sb1 0.000 0.412 0.086 1
Sb2 0.182 0.096 0.239 1
Te1 0.000 0.172 0.747 1
# Total energy   -199.7 eV/cell
# DOS(E_F)   32.1 states/eV per cell
# ΔE_f (raw)   -0.759 eV per atom
# Crystal system   orthorhombic

***

# PBE Tm8Sb4Te3, optimized geometry
data_Tm8Sb4Te3
_symmetry_space_group_name_H-M 'C 1 2/m 1'
_symmetry_Int_Tables_number 12
_symmetry_space_group_name_Hall '-C 2y'
_cell_length_a 12.094
_cell_length_b 12.114
_cell_length_c 8.533
_cell_angle_alpha 90.00
_cell_angle_beta 134.73
_cell_angle_gamma 90.00
loop_
_atom_site_label
_atom_site_fract_x
_atom_site_fract_y
_atom_site_fract_z
_atom_site_occupancy
Tm1 0.000 0.246 0.000 1
Tm2 0.000 0.248 0.500 1
Tm3 0.243 0.000 0.495 1
Tm4 0.248 0.000 0.001 1
Sb1 0.000 0.000 0.000 1
Sb2 0.000 0.500 0.500 1
Sb3 0.250 0.250 0.500 1
Te1 0.000 0.500 0.000 1
Te2 0.250 0.250 0.000 1
# Total energy   -153.4 eV/cell
# DOS(E_F)   13.9 states/eV per cell
# ΔE_f (raw)   -1.002 eV per atom
# Crystal system   monoclinic

***

# PBE Tm4SbTe3, optimized geometry
data_Tm4SbTe3
_symmetry_space_group_name_H-M 'C m m m'
_symmetry_Int_Tables_number 65
_symmetry_space_group_name_Hall '-C 2 2'
_cell_length_a 8.632
_cell_length_b 12.192
_cell_length_c 4.313
_cell_angle_alpha 90.00
_cell_angle_beta 90.00
_cell_angle_gamma 90.00
loop_
_atom_site_label
_atom_site_fract_x
_atom_site_fract_y
_atom_site_fract_z
_atom_site_occupancy
Tm1 0.000 0.245 0.000 1
Tm2 0.241 0.000 0.500 1
Sb1 0.000 0.000 0.000 1
Te1 0.000 0.500 0.000 1
Te2 0.250 0.250 0.500 1
# Total energy   -81.7 eV/cell
# DOS(E_F)   7.1 states/eV per cell
# ΔE_f (raw)   -1.174 eV per atom
# Crystal system   orthorhombic

***

# PBE Tm4SbTe, optimized geometry
data_Tm4SbTe
_symmetry_space_group_name_H-M 'I 41 m d'
_symmetry_Int_Tables_number 109
_symmetry_space_group_name_Hall 'I 4bw -2'
_cell_length_a 9.826
_cell_length_b 9.826
_cell_length_c 8.448
_cell_angle_alpha 90.00
_cell_angle_beta 90.00
_cell_angle_gamma 90.00
loop_
_atom_site_label
_atom_site_fract_x
_atom_site_fract_y
_atom_site_fract_z
_atom_site_occupancy
Tm1 0.000 0.293 0.000 1
Tm2 0.000 0.293 0.498 1
Sb1 0.000 0.000 0.999 1
Te1 0.000 0.000 0.499 1
# Total energy   -108.7 eV/cell
# DOS(E_F)   22.3 states/eV per cell
# ΔE_f (raw)   -0.338 eV per atom
# Crystal system   tetragonal

***

# PBE TmSbTe3, optimized geometry
data_TmSbTe3
_symmetry_space_group_name_H-M 'P n m a'
_symmetry_Int_Tables_number 62
_symmetry_space_group_name_Hall '-P 2ac 2n'
_cell_length_a 11.138
_cell_length_b 4.323
_cell_length_c 14.731
_cell_angle_alpha 90.00
_cell_angle_beta 90.00
_cell_angle_gamma 90.00
loop_
_atom_site_label
_atom_site_fract_x
_atom_site_fract_y
_atom_site_fract_z
_atom_site_occupancy
Tm1 0.156 0.250 0.030 1
Sb1 0.050 0.250 0.641 1
Te1 0.017 0.750 0.126 1
Te2 0.161 0.250 0.461 1
Te3 0.202 0.750 0.708 1
# Total energy   -86.3 eV/cell
# ΔE_f (raw)   -0.712 eV per atom
# Crystal system   orthorhombic

***

# PBE Tm4SbTe3, optimized geometry
data_Tm4SbTe3
_symmetry_space_group_name_H-M 'P 1 2/c 1'
_symmetry_Int_Tables_number 13
_symmetry_space_group_name_Hall '-P 2yc'
_cell_length_a 7.476
_cell_length_b 8.564
_cell_length_c 7.490
_cell_angle_alpha 90.00
_cell_angle_beta 109.01
_cell_angle_gamma 90.00
loop_
_atom_site_label
_atom_site_fract_x
_atom_site_fract_y
_atom_site_fract_z
_atom_site_occupancy
Tm1 0.241 0.121 0.001 1
Tm2 0.245 0.371 0.494 1
Sb1 0.000 0.125 0.250 1
Te1 0.000 0.375 0.750 1
Te2 0.500 0.126 0.750 1
Te3 0.500 0.376 0.250 1
# Total energy   -81.7 eV/cell
# DOS(E_F)   5.1 states/eV per cell
# ΔE_f (raw)   -1.178 eV per atom
# Crystal system   monoclinic

***

# PBE Tm6Sb5Te, optimized geometry
data_Tm6Sb5Te
_symmetry_space_group_name_H-M 'C 1 2/m 1'
_symmetry_Int_Tables_number 12
_symmetry_space_group_name_Hall '-C 2y'
_cell_length_a 7.504
_cell_length_b 12.991
_cell_length_c 7.503
_cell_angle_alpha 90.00
_cell_angle_beta 109.46
_cell_angle_gamma 90.00
loop_
_atom_site_label
_atom_site_fract_x
_atom_site_fract_y
_atom_site_fract_z
_atom_site_occupancy
Tm1 0.245 0.000 0.252 1
Tm2 0.246 0.170 0.746 1
Sb1 0.000 0.000 0.500 1
Sb2 0.000 0.167 0.000 1
Sb3 0.000 0.336 0.500 1
Te1 0.000 0.500 0.000 1
# Total energy   -128.1 eV/cell
# DOS(E_F)   5.7 states/eV per cell
# ΔE_f (raw)   -1.124 eV per atom
# Crystal system   monoclinic

***

What did the eighth record say?
# PBE Tm4SbTe3, optimized geometry
data_Tm4SbTe3
_symmetry_space_group_name_H-M 'C m m m'
_symmetry_Int_Tables_number 65
_symmetry_space_group_name_Hall '-C 2 2'
_cell_length_a 8.632
_cell_length_b 12.192
_cell_length_c 4.313
_cell_angle_alpha 90.00
_cell_angle_beta 90.00
_cell_angle_gamma 90.00
loop_
_atom_site_label
_atom_site_fract_x
_atom_site_fract_y
_atom_site_fract_z
_atom_site_occupancy
Tm1 0.000 0.245 0.000 1
Tm2 0.241 0.000 0.500 1
Sb1 0.000 0.000 0.000 1
Te1 0.000 0.500 0.000 1
Te2 0.250 0.250 0.500 1
# Total energy   -81.7 eV/cell
# DOS(E_F)   7.1 states/eV per cell
# ΔE_f (raw)   -1.174 eV per atom
# Crystal system   orthorhombic

***

Q: The highest ΔE_f (raw) belongs to which entry?
A: Tm4SbTe

***

Q: Look up the ΔE_f (raw) of the tenth one.
A: -0.712 eV per atom